(1)
Compound: CeDyBeAl
Source: Alexandria via LeMat-Bulk
Functional: PBE
Structure: relaxed

```
CeDyBeAl
1.0
0.000 3.534 3.534
3.534 0.000 3.534
3.534 3.534 0.000
Ce Dy Be Al
1 1 1 1
Direct
0.000 0.000 0.000
0.500 0.500 0.500
0.750 0.750 0.750
0.250 0.250 0.250
```

Properties
Fermi-level density of states: 0.8589 states/eV per atom
E: -18.27 eV/f.u.
symmetry: F-43m, No. 216
mass density: 6.37 g/cm³
crystal system: cubic
formation enthalpy at 0 K: -26 kJ/mol of formula units

(2)
Compound: KZnRh
Source: Alexandria via LeMat-Bulk
Functional: PBE
Structure: relaxed

```
KZnRh
1.0
4.205 0.000 0.000
-2.102 3.641 0.000
0.000 0.000 5.120
K Zn Rh
1 1 1
Direct
0.000 0.000 0.000
0.333 0.667 0.500
0.667 0.333 0.500
```

Properties
Fermi-level density of states: 0.4337 states/eV per atom
E: -8.96 eV/f.u.
symmetry: P-6m2, No. 187
mass density: 4.39 g/cm³
crystal system: hexagonal
formation enthalpy at 0 K: 74 kJ/mol of formula units
relative energy among the computed polymorphs: 0.2095 eV/atom

(3)
Compound: PrGdIBr
Source: Alexandria via LeMat-Bulk
Functional: PBE
Structure: relaxed

```
PrGdIBr
1.0
0.000 3.799 3.799
3.799 0.000 3.799
3.799 3.799 0.000
Pr Gd I Br
1 1 1 1
Direct
0.000 0.000 0.000
0.500 0.500 0.500
0.250 0.250 0.250
0.750 0.750 0.750
```

Properties
Fermi-level density of states: 0.7964 states/eV per atom
E: -25.39 eV/f.u.
symmetry: F-43m, No. 216
ΔE_f (raw): -0.83 eV per atom
mass density: 7.65 g/cm³
crystal system: cubic

(4)
Compound: HoLuOsAu
Source: Alexandria via LeMat-Bulk
Functional: PBE
Structure: relaxed

```
HoLuOsAu
1.0
0.000 3.451 3.451
3.451 0.000 3.451
3.451 3.451 0.000
Ho Lu Os Au
1 1 1 1
Direct
0.000 0.000 0.000
0.500 0.500 0.500
0.250 0.250 0.250
0.750 0.750 0.750
```

Properties
Fermi-level density of states: 0.3964 states/eV per atom
E: -25.75 eV/f.u.
symmetry: F-43m, No. 216
mass density: 14.68 g/cm³
crystal system: cubic
formation enthalpy at 0 K: -206 kJ/mol of formula units

(5)
Compound: Tb4PmHo15
Source: Alexandria via LeMat-Bulk
Functional: PBE
Structure: relaxed

```
Tb4PmHo15
1.0
5.003 0.000 0.000
0.000 5.003 0.000
0.000 0.000 24.991
Tb Pm Ho
4 1 15
Direct
0.000 0.000 0.100
0.000 0.000 0.299
0.000 0.000 0.701
0.000 0.000 0.900
0.000 0.000 0.500
0.000 0.500 0.000
0.000 0.500 0.200
0.000 0.500 0.399
0.000 0.500 0.601
0.000 0.500 0.800
0.500 0.000 0.000
0.500 0.000 0.200
0.500 0.000 0.399
0.500 0.000 0.601
0.500 0.000 0.800
0.500 0.500 0.100
0.500 0.500 0.299
0.500 0.500 0.500
0.500 0.500 0.701
0.500 0.500 0.900
```

Properties
Fermi-level density of states: 1.3007 states/eV per atom
E: -91.56 eV/f.u.
symmetry: P4/mmm, No. 123
mass density: 8.64 g/cm³
crystal system: tetragonal
formation enthalpy at 0 K: 37 kJ/mol of formula units

(6)
Compound: LaPr3Sm4
Source: Alexandria via LeMat-Bulk
Functional: PBE
Structure: relaxed

```
LaPr3Sm4
1.0
10.431 0.000 0.000
0.000 7.341 0.000
0.000 0.000 7.346
La Pr Sm
2 6 8
Direct
0.000 0.000 0.000
0.500 0.000 0.500
0.000 0.500 0.500
0.250 0.250 0.250
0.250 0.750 0.750
0.500 0.500 0.000
0.750 0.250 0.250
0.750 0.750 0.750
0.000 0.000 0.500
0.000 0.500 0.000
0.250 0.250 0.750
0.250 0.750 0.250
0.500 0.000 0.000
0.500 0.500 0.500
0.750 0.250 0.750
0.750 0.750 0.250
```

Properties
Fermi-level density of states: 1.6839 states/eV per atom
E: -38.01 eV/f.u.
symmetry: Pmn2_1, No. 31
mass density: 6.87 g/cm³
crystal system: orthorhombic
formation enthalpy at 0 K: 13 kJ/mol of formula units
relative energy among the computed polymorphs: 0.0000 eV/atom

(7)
Compound: MnCoTcC2
Source: Alexandria via LeMat-Bulk
Functional: PBE
Structure: relaxed

```
MnCoTcC2
1.0
3.637 0.000 0.000
0.000 3.637 0.000
0.000 0.000 4.791
Mn Co Tc C
1 1 1 2
Direct
0.000 0.000 0.000
0.500 0.500 0.500
0.000 0.000 0.500
0.000 0.500 0.000
0.500 0.000 0.000
```

Properties
Fermi-level density of states: 0.9942 states/eV per atom
E: -36.23 eV/f.u.
symmetry: P4/mmm, No. 123
mass density: 6.18 g/cm³
crystal system: tetragonal
formation enthalpy at 0 K: 855 kJ/mol of formula units

(8)
Compound: RbCaMo3
Source: Alexandria via LeMat-Bulk
Functional: PBE
Structure: relaxed

```
RbCaMo3
1.0
5.363 0.000 0.000
0.000 5.363 0.000
0.000 0.000 5.363
Rb Ca Mo
1 1 3
Direct
0.000 0.000 0.000
0.500 0.500 0.500
0.000 0.500 0.500
0.500 0.000 0.500
0.500 0.500 0.000
```

Properties
Fermi-level density of states: 1.0399 states/eV per atom
E: -21.29 eV/f.u.
symmetry: Pm-3m, No. 221
mass density: 4.45 g/cm³
crystal system: cubic
formation enthalpy at 0 K: 1367 kJ/mol of formula units
relative energy among the computed polymorphs: 0.0000 eV/atom

(9)
Compound: SrScTe3
Source: Alexandria via LeMat-Bulk
Functional: PBE
Structure: relaxed

```
SrScTe3
1.0
5.958 0.000 0.000
0.000 5.958 0.000
0.000 0.000 5.958
Sr Sc Te
1 1 3
Direct
0.000 0.000 0.000
0.500 0.500 0.500
0.000 0.000 0.500
0.000 0.500 0.000
0.500 0.000 0.000
```

Properties
Fermi-level density of states: 2.1088 states/eV per atom
E: -16.72 eV/f.u.
symmetry: Pm-3m, No. 221
ΔE_f (raw): 0.14 eV per atom
mass density: 4.05 g/cm³
crystal system: cubic
relative energy among the computed polymorphs: 1.1590 eV/atom

(10)
Compound: YSbBr2
Source: Alexandria via LeMat-Bulk
Functional: PBE
Structure: relaxed

```
YSbBr2
1.0
3.319 -4.691 0.000
3.319 4.691 0.000
0.000 0.000 3.494
Y Sb Br
1 1 2
Direct
0.000 0.000 0.000
0.500 0.500 0.000
0.000 0.500 0.500
0.500 0.000 0.500
```

Properties
Fermi-level density of states: 0.4754 states/eV per atom
E: -15.77 eV/f.u.
symmetry: Cmmm, No. 65
ΔE_f (raw): -0.46 eV per atom
mass density: 5.66 g/cm³
crystal system: orthorhombic
relative energy among the computed polymorphs: 0.5877 eV/atom

(11)
Compound: CuRu
Source: Alexandria via LeMat-Bulk
Functional: PBE
Structure: relaxed

```
CuRu
1.0
0.000 3.738 7.380
2.051 0.000 7.380
2.051 3.738 0.000
Cu Ru
4 4
Direct
0.036 0.714 0.036
0.286 0.964 0.286
0.714 0.036 0.714
0.964 0.286 0.964
0.290 0.290 0.460
0.460 0.460 0.290
0.540 0.540 0.710
0.710 0.710 0.540
```

Properties
Fermi-level density of states: 1.2311 states/eV per atom
E: -12.43 eV/f.u.
symmetry: Fddd, No. 70
mass density: 9.66 g/cm³
crystal system: orthorhombic
formation enthalpy at 0 K: 91 kJ/mol of formula units

(12)
Compound: TeMoRh2
Source: Alexandria via LeMat-Bulk
Functional: PBE
Structure: relaxed

```
TeMoRh2
1.0
3.330 0.000 0.000
0.000 3.330 0.000
0.000 0.000 6.076
Te Mo Rh
1 1 2
Direct
0.000 0.000 0.000
0.500 0.500 0.318
0.000 0.000 0.515
0.500 0.500 0.774
```

Properties
Fermi-level density of states: 0.9195 states/eV per atom
E: -28.03 eV/f.u.
symmetry: P4mm, No. 99
ΔE_f (raw): 0.16 eV per atom
mass density: 10.58 g/cm³
crystal system: tetragonal

(13)
Compound: Th3Al8Zn3
Source: Alexandria via LeMat-Bulk
Functional: PBE
Structure: relaxed

```
Th3Al8Zn3
1.0
-2.191 5.011 6.416
2.191 -5.011 6.416
2.191 5.011 -6.416
Th Al Zn
3 8 3
Direct
0.000 0.000 0.000
0.315 0.315 0.000
0.685 0.685 0.000
0.032 0.665 0.367
0.147 0.869 0.278
0.298 0.665 0.633
0.409 0.131 0.278
0.591 0.869 0.722
0.702 0.335 0.367
0.853 0.131 0.722
0.968 0.335 0.633
0.281 0.500 0.781
0.500 0.000 0.500
0.719 0.500 0.219
```

Properties
Fermi-level density of states: 0.4483 states/eV per atom
E: -60.54 eV/f.u.
symmetry: Immm, No. 71
mass density: 6.53 g/cm³
crystal system: orthorhombic
formation enthalpy at 0 K: -436 kJ/mol of formula units

(14)
Compound: CoMoAu2N
Source: Alexandria via LeMat-Bulk
Functional: PBE
Structure: relaxed

```
CoMoAu2N
1.0
4.981 0.000 0.000
0.000 4.981 0.000
0.000 0.000 3.321
Co Mo Au N
1 1 2 1
Direct
0.000 0.000 0.000
0.500 0.500 0.500
0.000 0.500 0.000
0.500 0.000 0.000
0.000 0.000 0.500
```

Properties
Fermi-level density of states: 0.6906 states/eV per atom
E: -28.38 eV/f.u.
symmetry: P4/mmm, No. 123
ΔE_f (raw): 0.89 eV per atom
mass density: 11.34 g/cm³
crystal system: tetragonal

(15)
Compound: ErLuOs2
Source: Alexandria via LeMat-Bulk
Functional: PBE
Structure: relaxed

```
ErLuOs2
1.0
0.000 3.361 3.361
3.361 0.000 3.361
3.361 3.361 0.000
Er Lu Os
1 1 2
Direct
0.000 0.000 0.000
0.500 0.500 0.500
0.250 0.250 0.250
0.750 0.750 0.750
```

Properties
Fermi-level density of states: 1.4906 states/eV per atom
E: -32.10 eV/f.u.
symmetry: Fm-3m, No. 225
mass density: 15.81 g/cm³
crystal system: cubic
formation enthalpy at 0 K: -53 kJ/mol of formula units
relative energy among the computed polymorphs: 0.0043 eV/atom

(16)
Compound: ZrMo2Cl
Source: Alexandria via LeMat-Bulk
Functional: PBE
Structure: relaxed

```
ZrMo2Cl
1.0
-3.774 3.774 2.536
3.774 -3.774 2.536
3.774 3.774 -2.536
Zr Mo Cl
2 4 2
Direct
0.000 0.000 0.000
0.750 0.250 0.500
0.217 0.625 0.092
0.375 0.467 0.592
0.533 0.125 0.908
0.875 0.783 0.408
0.250 0.750 0.500
0.500 0.500 0.000
```

Properties
Fermi-level density of states: 0.9782 states/eV per atom
E: -29.69 eV/f.u.
symmetry: I-42d, No. 122
ΔE_f (raw): 0.59 eV per atom
mass density: 7.32 g/cm³
crystal system: tetragonal
relative energy among the computed polymorphs: 0.7487 eV/atom

(17)
Compound: Sn2IrN
Source: Alexandria via LeMat-Bulk
Functional: PBE
Structure: relaxed

```
Sn2IrN
1.0
-3.043 3.043 4.030
3.043 -3.043 4.030
3.043 3.043 -4.030
Sn Ir N
4 2 2
Direct
0.069 0.625 0.944
0.375 0.319 0.444
0.681 0.125 0.056
0.875 0.931 0.556
0.250 0.750 0.500
0.500 0.500 0.000
0.000 0.000 0.000
0.750 0.250 0.500
```

Properties
Fermi-level density of states: 0.0146 states/eV per atom
E: -24.12 eV/f.u.
symmetry: I-42d, No. 122
ΔE_f (raw): 0.27 eV per atom
mass density: 9.87 g/cm³
crystal system: tetragonal

(18)
Compound: Cu23Si6
Source: Alexandria via LeMat-Bulk
Functional: PBE
Structure: relaxed

```
Cu23Si6
1.0
0.000 5.744 5.744
5.744 0.000 5.744
5.744 5.744 0.000
Cu Si
23 6
Direct
0.000 0.000 0.000
0.000 0.000 0.343
0.000 0.000 0.657
0.000 0.343 0.000
0.000 0.343 0.657
0.000 0.657 0.000
0.000 0.657 0.343
0.114 0.629 0.629
0.250 0.250 0.250
0.343 0.000 0.000
0.343 0.000 0.657
0.343 0.657 0.000
0.371 0.371 0.371
0.371 0.371 0.886
0.371 0.886 0.371
0.629 0.114 0.629
0.629 0.629 0.114
0.629 0.629 0.629
0.657 0.000 0.000
0.657 0.000 0.343
0.657 0.343 0.000
0.750 0.750 0.750
0.886 0.371 0.371
0.279 0.279 0.721
0.279 0.721 0.279
0.279 0.721 0.721
0.721 0.279 0.279
0.721 0.279 0.721
0.721 0.721 0.279
```

Properties
Fermi-level density of states: 0.3213 states/eV per atom
E: -124.09 eV/f.u.
symmetry: Fm-3m, No. 225
ΔE_f (raw): 0.09 eV per atom
mass density: 7.14 g/cm³
crystal system: cubic

(19)
Compound: ScNiAu2
Source: Alexandria via LeMat-Bulk
Functional: PBE
Structure: relaxed

```
ScNiAu2
1.0
3.448 0.000 0.000
0.000 3.554 0.000
0.000 0.000 5.527
Sc Ni Au
1 1 2
Direct
0.000 0.000 0.000
0.000 0.000 0.500
0.500 0.500 0.259
0.500 0.500 0.741
```

Properties
Fermi-level density of states: 0.4099 states/eV per atom
E: -20.46 eV/f.u.
symmetry: Pmmm, No. 47
mass density: 12.20 g/cm³
crystal system: orthorhombic
formation enthalpy at 0 K: -173 kJ/mol of formula units

(20)
Compound: NbTlSeN2
Source: Alexandria via LeMat-Bulk
Functional: PBE
Structure: relaxed

```
NbTlSeN2
1.0
4.100 0.000 0.000
0.000 4.100 0.000
0.000 0.000 5.532
Nb Tl Se N
1 1 1 2
Direct
0.000 0.000 0.000
0.500 0.500 0.500
0.000 0.000 0.500
0.000 0.500 0.000
0.500 0.000 0.000
```

Properties
Fermi-level density of states: 0.4137 states/eV per atom
E: -31.69 eV/f.u.
symmetry: P4/mmm, No. 123
ΔE_f (raw): 0.18 eV per atom
mass density: 7.22 g/cm³
crystal system: tetragonal
relative energy among the computed polymorphs: 0.0000 eV/atom

(21)
Compound: BaSmAu10
Source: Alexandria via LeMat-Bulk
Functional: PBE
Structure: relaxed

```
BaSmAu10
1.0
4.733 0.000 0.000
0.000 5.637 0.000
0.000 0.000 9.931
Ba Sm Au
1 1 10
Direct
0.000 0.000 0.000
0.000 0.500 0.500
0.000 0.000 0.344
0.000 0.000 0.656
0.000 0.500 0.183
0.000 0.500 0.817
0.500 0.000 0.500
0.500 0.253 0.256
0.500 0.253 0.744
0.500 0.500 0.000
0.500 0.747 0.256
0.500 0.747 0.744
```

Properties
Fermi-level density of states: 0.3965 states/eV per atom
E: -44.30 eV/f.u.
symmetry: Pmmm, No. 47
mass density: 14.15 g/cm³
crystal system: orthorhombic
formation enthalpy at 0 K: -471 kJ/mol of formula units

(22)
Compound: La4Tl2GaHg
Source: Alexandria via LeMat-Bulk
Functional: PBE
Structure: relaxed

```
La4Tl2GaHg
1.0
2.777 1.604 9.035
-2.777 1.604 9.035
0.000 -3.207 9.035
La Tl Ga Hg
4 2 1 1
Direct
0.120 0.120 0.120
0.371 0.371 0.371
0.629 0.629 0.629
0.880 0.880 0.880
0.245 0.245 0.245
0.755 0.755 0.755
0.000 0.000 0.000
0.500 0.500 0.500
```

Properties
Fermi-level density of states: 1.4263 states/eV per atom
E: -31.46 eV/f.u.
symmetry: R-3m, No. 166
mass density: 8.49 g/cm³
crystal system: trigonal
formation enthalpy at 0 K: -356 kJ/mol of formula units

(23)
Compound: Sm2Zn5Au5
Source: Alexandria via LeMat-Bulk
Functional: PBE
Structure: relaxed

```
Sm2Zn5Au5
1.0
4.533 0.000 0.000
0.000 5.336 0.000
0.000 0.000 9.541
Sm Zn Au
2 5 5
Direct
0.000 0.000 0.000
0.000 0.500 0.500
0.500 0.000 0.500
0.500 0.249 0.252
0.500 0.249 0.748
0.500 0.751 0.252
0.500 0.751 0.748
0.000 0.000 0.334
0.000 0.000 0.666
0.000 0.500 0.180
0.000 0.500 0.820
0.500 0.500 0.000
```

Properties
Fermi-level density of states: 0.5102 states/eV per atom
E: -38.12 eV/f.u.
symmetry: Pmmm, No. 47
mass density: 11.60 g/cm³
crystal system: orthorhombic
formation enthalpy at 0 K: -571 kJ/mol of formula units